Entry 1:
The following is a DFT calculation (PBE) of Nd4Er2TmTh after structural relaxation.

abc: 6.001 6.004 7.352
angles: 90.00 90.03 90.00
Sites, in units of the cell vectors:
Nd  0.001  0.000  0.249
Nd  0.499  0.500  0.249
Nd  0.501  0.500  0.751
Nd  0.999  0.000  0.751
Er  0.000  0.500  0.500
Er  0.500  0.000  0.500
Tm  0.000  0.500  0.000
Th  0.500  0.000  0.000

Raw total energy = -4.873 eV/atom
Space-group type = P2/m (10)
Energy relative to the elements = 0.138 eV/atom
M_tot = 0.00 μB/cell
Fermi-level density of states = 1.905 states/eV/atom

=====

Entry 2:
The following is a DFT calculation (PBE) of CaSi3Pd3 after structural relaxation.

abc: 6.649 6.649 6.649
angles: 90.00 90.00 90.00
Sites, in units of the cell vectors:
Ca  0.000  0.000  0.000
Ca  0.500  0.500  0.500
Si  0.000  0.250  0.500
Si  0.000  0.750  0.500
Si  0.250  0.500  0.000
Si  0.500  0.000  0.250
Si  0.500  0.000  0.750
Si  0.750  0.500  0.000
Pd  0.000  0.500  0.250
Pd  0.000  0.500  0.750
Pd  0.250  0.000  0.500
Pd  0.500  0.250  0.000
Pd  0.500  0.750  0.000
Pd  0.750  0.000  0.500

Raw total energy = -5.199 eV/atom
Space-group type = Pm-3n (223)
M_tot = 0.00 μB/cell
Fermi-level density of states = 0.613 states/eV/atom

=====

Which formula does entry 2 have? CaSi3Pd3

=====

Look up the raw total energy of the first one. -4.873 eV/atom